# 1
# PBE Pr10DyHo6, optimized geometry
data_Pr10DyHo6
_chemical_formula_sum 'Pr10 Dy1 Ho6'
_space_group_name_H-M_alt 'P -3 1 m'
_space_group_IT_number 162
_space_group_name_Hall '-P 3 2'
_cell_length_a 9.8917
_cell_length_b 9.8917
_cell_length_c 6.9511
_cell_angle_alpha 90.00
_cell_angle_beta 90.00
_cell_angle_gamma 120.00
loop_
_atom_site_label
_atom_site_type_symbol
_atom_site_fract_x
_atom_site_fract_y
_atom_site_fract_z
_atom_site_occupancy
Pr1 Pr 0.0000 0.2749 0.1829 1
Pr2 Pr 0.3333 0.6667 0.0000 1
Pr3 Pr 0.3333 0.6667 0.5000 1
Dy1 Dy 0.0000 0.0000 0.5000 1
Ho1 Ho 0.0000 0.3680 0.6872 1
# Uncorrected energy, eV/atom: -4.571
# Energy of formation, eV per atom: 0.1272

---

# 2
# PBE NdSm6YTm2, optimized geometry
data_NdSm6YTm2
_chemical_formula_sum 'Nd4 Sm24 Y4 Tm8'
_space_group_name_H-M_alt 'C 1 2/c 1'
_space_group_IT_number 15
_space_group_name_Hall '-C 2yc'
_cell_length_a 9.189
_cell_length_b 15.208
_cell_length_c 9.677
_cell_angle_alpha 90.00
_cell_angle_beta 97.70
_cell_angle_gamma 90.00
loop_
_atom_site_label
_atom_site_type_symbol
_atom_site_fract_x
_atom_site_fract_y
_atom_site_fract_z
_atom_site_occupancy
Nd1 Nd 0.000 0.093 0.250 1
Sm1 Sm 0.064 0.320 0.446 1
Sm2 Sm 0.101 0.106 0.621 1
Sm3 Sm 0.207 0.273 0.817 1
Y1 Y 0.000 0.473 0.750 1
Tm1 Tm 0.246 0.449 0.045 1
# Uncorrected energy, eV/atom: -4.732
# Energy of formation, eV per atom: 0.1173

---

# 3
# PBE Dy8GaSi3Te4, optimized geometry
data_Dy8GaSi3Te4
_chemical_formula_sum 'Dy24 Ga3 Si9 Te12'
_space_group_name_H-M_alt 'R -3 m'
_space_group_IT_number 166
_space_group_name_Hall '-R 3 2"'
_cell_length_a 8.4102
_cell_length_b 8.4102
_cell_length_c 21.4414
_cell_angle_alpha 90.00
_cell_angle_beta 90.00
_cell_angle_gamma 120.00
loop_
_atom_site_label
_atom_site_type_symbol
_atom_site_fract_x
_atom_site_fract_y
_atom_site_fract_z
_atom_site_occupancy
Dy1 Dy 0.0000 0.0000 0.2390 1
Dy2 Dy 0.0044 0.5022 0.7586 1
Ga1 Ga 0.0000 0.0000 0.5000 1
Si1 Si 0.0000 0.5000 0.5000 1
Te1 Te 0.0000 0.0000 0.0000 1
Te2 Te 0.0000 0.5000 0.0000 1
# Uncorrected energy, eV/atom: -5.334
# Formation energy without anion corrections, eV per atom: -1.04

---

# 4
# PBE ScSbAs, optimized geometry
data_ScSbAs
_chemical_formula_sum 'Sc2 Sb2 As2'
_space_group_name_H-M_alt 'I 4 m m'
_space_group_IT_number 107
_space_group_name_Hall 'I 4 -2'
_cell_length_a 3.672
_cell_length_b 3.672
_cell_length_c 10.169
_cell_angle_alpha 90.00
_cell_angle_beta 90.00
_cell_angle_gamma 90.00
loop_
_atom_site_label
_atom_site_type_symbol
_atom_site_fract_x
_atom_site_fract_y
_atom_site_fract_z
_atom_site_occupancy
Sc1 Sc 0.000 0.000 0.000 1
Sb1 Sb 0.000 0.000 0.685 1
As1 As 0.000 0.000 0.414 1
# Uncorrected energy, eV/atom: -5.695
# Formation energy without anion corrections, eV per atom: -0.66

---

# 5
# PBE LiPrYCu, optimized geometry
data_LiPrYCu
_chemical_formula_sum 'Li4 Pr4 Y4 Cu4'
_space_group_name_H-M_alt 'F -4 3 m'
_space_group_IT_number 216
_space_group_name_Hall 'F -4 2 3'
_cell_length_a 7.281
_cell_length_b 7.281
_cell_length_c 7.281
_cell_angle_alpha 90.00
_cell_angle_beta 90.00
_cell_angle_gamma 90.00
loop_
_atom_site_label
_atom_site_type_symbol
_atom_site_fract_x
_atom_site_fract_y
_atom_site_fract_z
_atom_site_occupancy
Li1 Li 0.000 0.000 0.000 1
Pr1 Pr 0.250 0.250 0.750 1
Y1 Y 0.250 0.250 0.250 1
Cu1 Cu 0.000 0.000 0.500 1
# Uncorrected energy, eV/atom: -4.314
# Energy of formation, eV per atom: -0.0007

---

# 6
# PBE Ti3Ir2Rh, optimized geometry
data_Ti3Ir2Rh
_chemical_formula_sum 'Ti3 Ir2 Rh1'
_space_group_name_H-M_alt 'P 4/m m m'
_space_group_IT_number 123
_space_group_name_Hall '-P 4 2'
_cell_length_a 2.945
_cell_length_b 2.945
_cell_length_c 10.414
_cell_angle_alpha 90.00
_cell_angle_beta 90.00
_cell_angle_gamma 90.00
loop_
_atom_site_label
_atom_site_type_symbol
_atom_site_fract_x
_atom_site_fract_y
_atom_site_fract_z
_atom_site_occupancy
Ti1 Ti 0.000 0.000 0.000 1
Ti2 Ti 0.000 0.000 0.333 1
Ir1 Ir 0.500 0.500 0.166 1
Rh1 Rh 0.500 0.500 0.500 1
# Uncorrected energy, eV/atom: -8.931
# Energy of formation, eV per atom: -0.8049